Here is an optimized crystal structure of B7C5 from Alexandria. Energies are from PBE.

Structure (extended XYZ):
```
12
Lattice="4.0884 -1.3107 0.0000 4.0884 1.3107 0.0000 -3.4893 0.0000 7.4371" Properties=species:S:1:pos:R:3 pbc="T T T"
B 0.0000 0.0000 0.0000
B -0.4485 0.0000 1.8060
B 1.5141 0.0000 0.8822
B 0.0342 0.0000 4.8618
B -0.3735 0.0000 6.6321
B 1.8753 0.0000 3.9968
B 1.4279 0.0000 5.9086
C -2.0196 0.0000 6.5946
C 4.0796 0.0000 2.8020
C 3.4525 0.0000 4.1735
C 6.1615 0.0000 1.6266
C 5.5292 0.0000 2.9807
```

**D(E_F)**: 2.68 states/eV/f.u.
**Offset from the most stable computed form**: 158.2 meV per atom



Here is an optimized crystal structure of BC from Alexandria. Energies are from PBE.

Structure (extended XYZ):
```
12
Lattice="6.3322 -1.3225 0.0000 6.3322 1.3225 0.0000 -1.4879 0.0000 5.0235" Properties=species:S:1:pos:R:3 pbc="T T T"
B 0.0000 0.0000 0.0000
B -0.3448 0.0000 1.8686
B 0.8583 0.0000 3.0256
B 4.2631 0.0000 0.1966
B 4.9998 0.0000 2.2749
B 8.4765 0.0000 1.1838
C 1.1107 0.0000 1.1564
C 3.6174 0.0000 2.9650
C 4.2151 0.0000 4.4352
C 7.8514 0.0000 3.6250
C 9.6938 0.0000 0.0938
C 9.1289 0.0000 2.7019
```

**D(E_F)**: 0.32 states/eV/f.u.
**Offset from the most stable computed form**: 256.1 meV per atom



Here is an optimized crystal structure of B3C from Alexandria. Energies are from PBE.

Structure (extended XYZ):
```
12
Lattice="4.3593 0.0000 0.0000 0.7119 4.3410 0.0000 1.8067 -0.1905 4.8610" Properties=species:S:1:pos:R:3 pbc="T T T"
B 0.0000 0.0000 0.0000
B 1.9619 3.3385 3.1981
B 2.1589 1.6522 2.4908
B 2.6261 0.0451 3.2546
B 1.6579 0.0818 0.1397
B 2.9668 2.0453 0.4357
B 3.9847 1.0830 2.5786
B 5.4704 3.2482 4.7271
B 5.0112 2.2368 3.3815
C 1.5882 1.4249 1.0106
C 4.8022 3.8685 3.2419
C 4.3480 1.2932 1.0182
```

**D(E_F)**: 0.58 states/eV/f.u.
**Offset from the most stable computed form**: 300.4 meV per atom



Here is an optimized crystal structure of B7C5 from Alexandria. Energies are from PBE.

Structure (extended XYZ):
```
12
Lattice="2.6361 0.0000 0.0000 0.0000 2.7110 0.0000 0.0000 0.0000 11.9648" Properties=species:S:1:pos:R:3 pbc="T T T"
B 0.0000 0.0000 0.0000
B 0.0000 0.0000 3.4273
B 0.0000 1.3555 4.7775
B 0.0000 1.3555 8.8493
B 1.3180 0.0000 10.4501
B 1.3180 1.3555 1.7712
B 1.3180 1.3555 5.9894
C 0.0000 0.0000 7.7356
C 0.0000 1.3555 0.6910
C 1.3180 0.0000 2.6346
C 1.3180 0.0000 6.9520
C 1.3180 1.3555 9.7378
```

**D(E_F)**: 2.72 states/eV/f.u.
**Offset from the most stable computed form**: 258.4 meV per atom



no.,E_form (eV per atom),calculated volume (Å³/cell)
1,0.3226,79.7
2,0.4069,84.1
3,0.5410,92.0
4,0.4228,85.5